Compound: Tl2SbCl
Source: the Alexandria database
Functional: PBE
Structure: relaxed

Computed properties:
* E_form (uncorrected): -0.3303 eV per atom
* space group: C2/m
* Fermi-level density of states: 1.4 states/eV/cell
* theoretical density: 8007 kg/m3

Unit cell a=8.4338 b=5.7911 c=3.5382 alpha=84.06 beta=73.90 gamma=130.05
Last column: nearest neighbours and their distance in Å.
Element x y z (fractional)
Tl1 0.5000 0.0000 0.5000  4 Sb 3.23-3.55, 4 Cl 3.23-3.55, 2 Tl 3.54
Tl2 0.0000 0.0000 0.0000  4 Cl 3.23-3.55, 4 Sb 3.23-3.55, 2 Tl 3.54
Sb1 0.5000 0.5000 0.0000  8 Tl 3.23-3.55, 2 Sb 3.54
Cl1 0.0000 0.5000 0.5000  8 Tl 3.23-3.55, 2 Cl 3.54

Compound: KAgTe2
Source: the Alexandria database
Functional: PBE
Structure: relaxed

Computed properties:
* E_form (uncorrected): 0.0317 eV per atom
* space group: F-43m
* Fermi-level density of states: 5.0 states/eV/cell
* theoretical density: 5630 kg/m3

Unit cell a=5.5151 b=5.5151 c=5.5151 alpha=60.00 beta=60.00 gamma=60.00
Last column: nearest neighbours and their distance in Å.
Element x y z (fractional)
Te1 0.2500 0.2500 0.2500  4 Ag 3.38, 4 Te 3.38
Te2 0.0000 0.0000 0.0000  4 K 3.38, 4 Te 3.38
K1 0.7500 0.7500 0.7500  4 Ag 3.38, 4 Te 3.38
Ag1 0.5000 0.5000 0.5000  4 K 3.38, 4 Te 3.38

Compound: Sb2PdRu
Source: the Alexandria database
Functional: PBE
Structure: relaxed

Computed properties:
* E_form (uncorrected): 0.0196 eV per atom
* space group: Fm-3m
* Fermi-level density of states: 2.8 states/eV/cell
* theoretical density: 10081 kg/m3

Unit cell a=4.7187 b=4.7187 c=4.7187 alpha=60.00 beta=60.00 gamma=60.00
Last column: nearest neighbours and their distance in Å.
Element x y z (fractional)
Pd1 0.5000 0.5000 0.5000  8 Sb 2.89
Sb1 0.2500 0.2500 0.2500  4 Pd 2.89, 4 Ru 2.89
Sb2 0.7500 0.7500 0.7500  4 Ru 2.89, 4 Pd 2.89
Ru1 0.0000 0.0000 0.0000  8 Sb 2.89

Compound: K2Bi2Au
Source: the Alexandria database
Functional: PBE
Structure: relaxed

Computed properties:
* space group: C2/c
* Fermi-level density of states: 3.2 states/eV/cell
* DFT formation energy: -148 kJ/mol of formula units
* theoretical density: 5854 kg/m3

Unit cell a=8.1343 b=6.6970 c=9.1039 alpha=92.88 beta=90.00 gamma=127.40
Last column: nearest neighbours and their distance in Å.
Element x y z (fractional)
Bi1 0.1726 0.9915 0.5473  1 Au 2.76, 1 Bi 3.01
Bi2 0.8274 0.0085 0.4527  1 Au 2.76, 1 Bi 3.01
Bi3 0.8190 0.9915 0.0473  1 Au 2.76, 1 Bi 3.01
Bi4 0.1810 0.0085 0.9527  1 Au 2.76, 1 Bi 3.01
K1 0.2498 0.5514 0.7708  2 Au 3.36-3.40, 1 Bi 3.74
K2 0.3016 0.5514 0.2708  2 Au 3.36-3.40, 1 Bi 3.74
K3 0.6984 0.4486 0.7292  2 Au 3.36-3.40, 1 Bi 3.74
K4 0.7502 0.4486 0.2292  2 Au 3.36-3.40, 1 Bi 3.74
Au1 0.2382 0.0000 0.2500  2 Bi 2.76
Au2 0.7618 0.0000 0.7500  2 Bi 2.76